Version a
BHI: relaxed, PBE.

```
data_BHI
_chemical_formula_sum 'B2 H2 I2'
_symmetry_space_group_name_H-M 'P -1'
_symmetry_Int_Tables_number 2
_symmetry_space_group_name_Hall '-P 1'
_cell_length_a 3.339
_cell_length_b 6.589
_cell_length_c 6.692
_cell_angle_alpha 88.70
_cell_angle_beta 89.08
_cell_angle_gamma 81.56
loop_
_atom_site_label
_atom_site_fract_x
_atom_site_fract_y
_atom_site_fract_z
B1 0.132 0.008 0.395
H1 0.215 0.152 0.299
I1 0.268 0.720 0.229
```

Summary:
DOS at the Fermi energy   0.099 states/eV/atom

Version b
BHI: relaxed, PBE.

```
data_BHI
_chemical_formula_sum 'B2 H2 I2'
_symmetry_space_group_name_H-M 'P 1 21/m 1'
_symmetry_Int_Tables_number 11
_symmetry_space_group_name_Hall '-P 2yb'
_cell_length_a 6.627
_cell_length_b 2.927
_cell_length_c 6.869
_cell_angle_alpha 90.00
_cell_angle_beta 95.46
_cell_angle_gamma 90.00
loop_
_atom_site_label
_atom_site_fract_x
_atom_site_fract_y
_atom_site_fract_z
B1 0.026 0.250 0.078
H1 0.165 0.250 0.204
I1 0.265 0.750 0.730
```

Summary:
DOS at the Fermi energy   0.069 states/eV/atom

Stability order, top to bottom: version b, version a